Entry from Alexandria: crystalline Ca4Ce3TcN8 at its relaxed geometry (GGA-PBE).

Cell: 6.9248 6.9248 17.0044 Å, 90.00 90.00 120.00°
Last column: nearest neighbours and their distance in Å.
Space group R-3m (No. 166, hexagonal axes)
Asymmetric unit:
Ca (0.0000, 0.0000, 0.0000) (multiplicity 3)  6 N 2.64
Ca (0.0000, 0.5000, 0.0000) (multiplicity 9)  6 N 2.52-2.54
Ce (0.0000, 0.5000, 0.5000) (multiplicity 9)  6 N 2.37-2.40
Tc (0.0000, 0.0000, 0.5000) (multiplicity 3)  6 N 2.27
N (0.0000, 0.0000, 0.2415) (multiplicity 6)  3 Ce 2.37, 3 Ca 2.54
N (0.0174, 0.5087, 0.2398) (multiplicity 18)  1 Tc 2.27, 2 Ce 2.40, 2 Ca 2.52

Calculated values
DOS at the Fermi energy, states/eV/atom: 0.25
Raw formation energy, meV/atom: -1050.1

---

Entry from Alexandria: crystalline CaCeTcN3 at its relaxed geometry (GGA-PBE).

Cell: 7.1770 3.4666 8.5343 Å, 90.00 98.73 90.00°
Last column: nearest neighbours and their distance in Å.
Space group P2_1/m (No. 11)
Asymmetric unit:
Ca (0.1636, 0.2500, 0.1394) (multiplicity 2)  5 N 2.46-2.62
Ce (0.3622, 0.7500, 0.8385) (multiplicity 2)  6 N 2.33-2.53
Tc (0.0421, 0.2500, 0.6166) (multiplicity 2)  4 N 1.96-2.06
N (0.1067, 0.2500, 0.8477) (multiplicity 2)  1 Tc 1.96
N (0.1671, 0.7500, 0.5770) (multiplicity 2)  3 Tc 2.00-2.06
N (0.4137, 0.7500, 0.1143) (multiplicity 2)  3 Ce 2.33-2.36, 2 Ca 2.53

Calculated values
DOS at the Fermi energy, states/eV/atom: 0.50
Raw formation energy, meV/atom: -802.0

---

Entry from Alexandria: crystalline Ca2CeTcN4 at its relaxed geometry (GGA-PBE).

Cell: 3.4237 11.6841 12.0254 Å, 90.00 90.00 90.00°
Last column: nearest neighbours and their distance in Å.
Space group Cmcm (No. 63)
Asymmetric unit:
Ca (0.0000, 0.1277, 0.0370) (multiplicity 8)  3 N 2.31-2.37
Ce (0.0000, 0.4122, 0.2500) (multiplicity 4)  6 N 2.53-2.75
Tc (0.0000, 0.3307, 0.7500) (multiplicity 4)  2 N 1.83
N (0.0000, 0.0711, 0.2500) (multiplicity 4)  2 Tc 2.06
N (0.0000, 0.2280, 0.6346) (multiplicity 8)  1 Tc 1.83
N (0.0000, 0.5000, 0.0000) (multiplicity 4)  4 Ca 2.31

Calculated values
DOS at the Fermi energy, states/eV/atom: 0.77
Raw formation energy, meV/atom: -706.1

---

Entry from Alexandria: crystalline CaCeTh2N4 at its relaxed geometry (GGA-PBE).

Cell: 6.2366 3.6481 6.2897 Å, 90.00 109.54 90.00°
Last column: nearest neighbours and their distance in Å.
Space group P2/m (No. 10)
Asymmetric unit:
Ca (0.0000, 0.0000, 0.0000) (multiplicity 1)  6 N 2.60-2.64
Ce (0.0000, 0.5000, 0.5000) (multiplicity 1)  6 N 2.58
Th (0.5000, 0.0000, 0.5000) (multiplicity 1)  6 N 2.50-2.52
Th (0.5000, 0.5000, 0.0000) (multiplicity 1)  6 N 2.54-2.56
N (0.2561, 0.0000, 0.7479) (multiplicity 2)  3 Th 2.52-2.56, 2 Ce 2.58, 1 Ca 2.60
N (0.2657, 0.5000, 0.2617) (multiplicity 2)  3 Th 2.50-2.54, 1 Ce 2.58, 2 Ca 2.64

Calculated values
DOS at the Fermi energy, states/eV/atom: 0.54
Raw formation energy, meV/atom: -1452.1

---

Entry from Alexandria: crystalline CaCe2ThN4 at its relaxed geometry (GGA-PBE).

Cell: 6.1845 3.6088 6.2194 Å, 90.00 109.19 90.00°
Last column: nearest neighbours and their distance in Å.
Space group P2/m (No. 10)
Asymmetric unit:
Ca (0.0000, 0.0000, 0.0000) (multiplicity 1)  6 N 2.57-2.63
Ce (0.0000, 0.5000, 0.5000) (multiplicity 1)  6 N 2.54-2.55
Ce (0.5000, 0.0000, 0.5000) (multiplicity 1)  6 N 2.47-2.48
Th (0.5000, 0.5000, 0.0000) (multiplicity 1)  6 N 2.52-2.54
N (0.2551, 0.0000, 0.7462) (multiplicity 2)  3 Ce 2.48-2.55, 2 Th 2.54, 1 Ca 2.57
N (0.2662, 0.5000, 0.2651) (multiplicity 2)  3 Ce 2.47-2.54, 1 Th 2.52, 2 Ca 2.63

Calculated values
DOS at the Fermi energy, states/eV/atom: 0.65
Raw formation energy, meV/atom: -1424.9

---

Entry from Alexandria: crystalline Ca3CeTh2N6 at its relaxed geometry (GGA-PBE).

Cell: 15.6525 3.6437 7.1537 Å, 90.00 101.70 90.00°
Last column: nearest neighbours and their distance in Å.
Space group C2/m (No. 12)
Asymmetric unit:
Ca (0.0000, 0.0000, 0.0000) (multiplicity 2)  6 N 2.63-2.67
Ca (0.1635, 0.5000, 0.3326) (multiplicity 4)  6 N 2.59-2.73
Ce (0.0000, 0.0000, 0.5000) (multiplicity 2)  6 N 2.43-2.45
Th (0.1661, 0.5000, 0.8300) (multiplicity 4)  6 N 2.47-2.50
N (0.0054, 0.5000, 0.7307) (multiplicity 4)  2 Ce 2.45, 1 Th 2.47, 3 Ca 2.59-2.67
N (0.1582, 0.0000, 0.5941) (multiplicity 4)  1 Ce 2.43, 2 Th 2.47, 2 Ca 2.62
N (0.1714, 0.0000, 0.0681) (multiplicity 4)  3 Th 2.48-2.50, 3 Ca 2.63-2.65

Calculated values
Raw formation energy, meV/atom: -1382.6

---

Entry from Alexandria: crystalline Ca2CeThN4 at its relaxed geometry (GGA-PBE).

Cell: 6.1422 3.6303 6.2848 Å, 90.00 109.98 90.00°
Last column: nearest neighbours and their distance in Å.
Space group P2/m (No. 10)
Asymmetric unit:
Ca (0.0000, 0.0000, 0.0000) (multiplicity 1)  6 N 2.65
Ca (0.0000, 0.5000, 0.5000) (multiplicity 1)  6 N 2.62-2.63
Ce (0.5000, 0.0000, 0.5000) (multiplicity 1)  6 N 2.44
Th (0.5000, 0.5000, 0.0000) (multiplicity 1)  6 N 2.47
N (0.2768, 0.0000, 0.7558) (multiplicity 2)  1 Ce 2.44, 2 Th 2.47, 3 Ca 2.63-2.65
N (0.2788, 0.5000, 0.2633) (multiplicity 2)  2 Ce 2.44, 1 Th 2.47, 3 Ca 2.62-2.65

Calculated values
Raw formation energy, meV/atom: -1364.3

---

Entry from Alexandria: crystalline Ca2CeTiN4 at its relaxed geometry (GGA-PBE).

Cell: 5.8241 3.3839 5.8982 Å, 90.00 108.68 90.00°
Last column: nearest neighbours and their distance in Å.
Space group P2/m (No. 10)
Asymmetric unit:
Ca (0.0000, 0.0000, 0.0000) (multiplicity 1)  6 N 2.56-2.64
Ca (0.5000, 0.5000, 0.0000) (multiplicity 1)  6 N 2.45-2.47
Ce (0.0000, 0.5000, 0.5000) (multiplicity 1)  6 N 2.33-2.36
Ti (0.5000, 0.0000, 0.5000) (multiplicity 1)  6 N 2.12-2.26
N (0.2663, 0.0000, 0.7122) (multiplicity 2)  1 Ti 2.12, 2 Ce 2.36
N (0.2752, 0.5000, 0.2865) (multiplicity 2)  2 Ti 2.26, 1 Ce 2.33, 1 Ca 2.45

Calculated values
DOS at the Fermi energy, states/eV/atom: 0.01
Raw formation energy, meV/atom: -1264.4

---

Entry from Alexandria: crystalline Ca4CeU3N8 at its relaxed geometry (GGA-PBE).

Cell: 7.0395 7.0395 17.1404 Å, 90.00 90.00 120.00°
Last column: nearest neighbours and their distance in Å.
Space group R-3m (No. 166, hexagonal axes)
Asymmetric unit:
Ca (0.0000, 0.0000, 0.0000) (multiplicity 3)  6 N 2.53
Ca (0.0000, 0.5000, 0.0000) (multiplicity 9)  6 N 2.60-2.65
Ce (0.0000, 0.0000, 0.5000) (multiplicity 3)  6 N 2.46
U (0.0000, 0.5000, 0.5000) (multiplicity 9)  6 N 2.33-2.38
N (0.0000, 0.0000, 0.2386) (multiplicity 6)  3 U 2.38, 3 Ca 2.60
N (0.0170, 0.5085, 0.7620) (multiplicity 18)  2 U 2.33, 1 Ce 2.46, 1 Ca 2.53

Calculated values
DOS at the Fermi energy, states/eV/atom: 0.93
Raw formation energy, meV/atom: -1297.9

---

Entry from Alexandria: crystalline Ca3CeU2N6 at its relaxed geometry (GGA-PBE).

Cell: 15.2596 3.5283 7.0435 Å, 90.00 102.83 90.00°
Last column: nearest neighbours and their distance in Å.
Space group C2/m (No. 12)
Asymmetric unit:
Ca (0.0000, 0.0000, 0.0000) (multiplicity 2)  6 N 2.54-2.63
Ca (0.1669, 0.5000, 0.3342) (multiplicity 4)  6 N 2.51-2.72
Ce (0.0000, 0.0000, 0.5000) (multiplicity 2)  6 N 2.47
U (0.1667, 0.5000, 0.8332) (multiplicity 4)  6 N 2.24-2.38
N (0.0160, 0.5000, 0.7507) (multiplicity 4)  1 U 2.24, 2 Ce 2.47
N (0.1652, 0.0000, 0.6130) (multiplicity 4)  2 U 2.35, 1 Ce 2.47, 1 Ca 2.51
N (0.1766, 0.0000, 0.0634) (multiplicity 4)  3 U 2.34-2.38

Calculated values
DOS at the Fermi energy, states/eV/atom: 0.84
Raw formation energy, meV/atom: -1308.5

---

Entry from Alexandria: crystalline CaCe2VN4 at its relaxed geometry (GGA-PBE).

Cell: 3.4697 11.7567 12.1854 Å, 90.00 90.00 90.00°
Last column: nearest neighbours and their distance in Å.
Space group Cmcm (No. 63)
Asymmetric unit:
Ca (0.0000, 0.1062, 0.2500) (multiplicity 4)  6 N 2.74-2.86
Ce (0.0000, 0.3673, 0.0431) (multiplicity 8)  6 N 2.39-2.58
V (0.0000, 0.1672, 0.7500) (multiplicity 4)  4 N 1.84-1.97
N (0.0000, 0.0000, 0.0000) (multiplicity 4)  4 Ce 2.39
N (0.0000, 0.2627, 0.6305) (multiplicity 8)  1 V 1.84
N (0.0000, 0.4131, 0.2500) (multiplicity 4)  2 V 1.97

Calculated values
DOS at the Fermi energy, states/eV/atom: 1.06
Raw formation energy, meV/atom: -1167.4

---

Entry from Alexandria: crystalline Ca2CeVN4 at its relaxed geometry (GGA-PBE).

Cell: 3.3975 11.6354 11.8830 Å, 90.00 90.00 90.00°
Last column: nearest neighbours and their distance in Å.
Space group Cmcm (No. 63)
Asymmetric unit:
Ca (0.0000, 0.1281, 0.0387) (multiplicity 8)  4 N 2.31-2.56
Ce (0.0000, 0.4102, 0.2500) (multiplicity 4)  6 N 2.67
V (0.0000, 0.3236, 0.7500) (multiplicity 4)  2 N 1.75
N (0.0000, 0.0869, 0.2500) (multiplicity 4)  2 V 1.99
N (0.0000, 0.2249, 0.6387) (multiplicity 8)  1 V 1.75
N (0.0000, 0.5000, 0.0000) (multiplicity 4)  4 Ca 2.31

Calculated values
DOS at the Fermi energy, states/eV/atom: 0.47
Raw formation energy, meV/atom: -1023.9

---

Entry from Alexandria: crystalline Ca3Ce3WN8 at its relaxed geometry (GGA-PBE).

Cell: 6.9129 6.9129 16.9695 Å, 90.00 90.00 120.00°
Last column: nearest neighbours and their distance in Å.
Space group R-3m (No. 166, hexagonal axes)
Asymmetric unit:
Ca (0.0000, 0.5000, 0.0000) (multiplicity 9)  6 N 2.52-2.54
Ce (0.0000, 0.5000, 0.5000) (multiplicity 9)  6 N 2.37-2.41
W (0.0000, 0.0000, 0.5000) (multiplicity 3)  6 N 2.09
N (0.0000, 0.0000, 0.2422) (multiplicity 6)  3 Ce 2.37, 3 Ca 2.52
N (0.0401, 0.5200, 0.2330) (multiplicity 18)  1 W 2.09

Calculated values
Raw formation energy, meV/atom: -1144.8

---

Entry from Alexandria: crystalline CaCeWN4 at its relaxed geometry (GGA-PBE).

Cell: 5.5989 12.5100 5.5114 Å, 90.00 90.00 90.00°
Last column: nearest neighbours and their distance in Å.
Space group Cmcm (No. 63)
Asymmetric unit:
Ca (0.0000, 0.1066, 0.2500) (multiplicity 4)  1 N 2.36
Ce (0.0000, 0.4001, 0.2500) (multiplicity 4)  1 N 2.08
W (0.0000, 0.2304, 0.7500) (multiplicity 4)  5 N 1.86-1.98
N (0.0000, 0.0819, 0.7500) (multiplicity 4)  1 W 1.86
N (0.0000, 0.4334, 0.7500) (multiplicity 4)  1 Ce 2.08
N (0.2500, 0.2500, 0.0000) (multiplicity 8)  2 W 1.98

Calculated values
DOS at the Fermi energy, states/eV/atom: 0.16
Raw formation energy, meV/atom: -970.4

---

Entry from Alexandria: crystalline Ca2CeWN4 at its relaxed geometry (GGA-PBE).

Cell: 3.4036 11.9667 12.2078 Å, 90.00 90.00 90.00°
Last column: nearest neighbours and their distance in Å.
Space group Cmcm (No. 63)
Asymmetric unit:
Ca (0.0000, 0.1258, 0.0323) (multiplicity 8)  3 N 2.31-2.38
Ce (0.0000, 0.4124, 0.2500) (multiplicity 4)  6 N 2.57-2.79
W (0.0000, 0.3279, 0.7500) (multiplicity 4)  2 N 1.84
N (0.0000, 0.0733, 0.2500) (multiplicity 4)  2 W 2.07
N (0.0000, 0.2299, 0.6341) (multiplicity 8)  1 W 1.84
N (0.0000, 0.5000, 0.0000) (multiplicity 4)  4 Ca 2.31

Calculated values
DOS at the Fermi energy, states/eV/atom: 0.65
Raw formation energy, meV/atom: -847.6

---

Entry from Alexandria: crystalline Ca3Ce2YN6 at its relaxed geometry (GGA-PBE).

Cell: 6.1333 10.6353 6.0960 Å, 90.00 109.52 90.00°
Last column: nearest neighbours and their distance in Å.
Space group C2/m (No. 12)
Asymmetric unit:
Ca (0.0000, 0.0000, 0.0000) (multiplicity 2)  6 N 2.56-2.60
Ca (0.0000, 0.3346, 0.0000) (multiplicity 4)  6 N 2.57-2.60
Ce (0.0000, 0.1666, 0.5000) (multiplicity 4)  6 N 2.40-2.41
Y (0.0000, 0.5000, 0.5000) (multiplicity 2)  6 N 2.44-2.45
N (0.2363, 0.0000, 0.7247) (multiplicity 4)  2 Ce 2.41, 1 Y 2.44, 3 Ca 2.56-2.59
N (0.2444, 0.3308, 0.7240) (multiplicity 8)  2 Ce 2.40-2.41, 1 Y 2.45, 3 Ca 2.57-2.60

Calculated values
DOS at the Fermi energy, states/eV/atom: 1.05
Raw formation energy, meV/atom: -1230.2

---

Entry from Alexandria: crystalline CaCe2ZnN4 at its relaxed geometry (GGA-PBE).

Cell: 3.5706 11.6749 11.8110 Å, 90.00 90.00 90.00°
Last column: nearest neighbours and their distance in Å.
Space group Cmcm (No. 63)
Asymmetric unit:
Ca (0.0000, 0.0949, 0.2500) (multiplicity 4)  2 N 2.55
Ce (0.0000, 0.3694, 0.0535) (multiplicity 8)  6 N 2.32-2.46
Zn (0.0000, 0.1651, 0.7500) (multiplicity 4)  4 N 1.99-2.16
N (0.0000, 0.0000, 0.0000) (multiplicity 4)  4 Ce 2.43
N (0.0000, 0.2569, 0.6081) (multiplicity 8)  1 Zn 1.99
N (0.0000, 0.4394, 0.2500) (multiplicity 4)  2 Zn 2.16

Calculated values
Raw formation energy, meV/atom: -1023.7

---

Entry from Alexandria: crystalline CaCe2ZrN4 at its relaxed geometry (GGA-PBE).

Cell: 5.9898 3.4590 6.0371 Å, 90.00 109.46 90.00°
Last column: nearest neighbours and their distance in Å.
Space group P2/m (No. 10)
Asymmetric unit:
Ca (0.0000, 0.0000, 0.0000) (multiplicity 1)  6 N 2.48-2.51
Ce (0.5000, 0.0000, 0.5000) (multiplicity 1)  6 N 2.40-2.43
Ce (0.5000, 0.5000, 0.0000) (multiplicity 1)  6 N 2.53-2.57
Zr (0.0000, 0.5000, 0.5000) (multiplicity 1)  6 N 2.34-2.37
N (0.2355, 0.0000, 0.7310) (multiplicity 2)  2 Zr 2.37, 3 Ce 2.43-2.53, 1 Ca 2.48
N (0.2493, 0.5000, 0.2723) (multiplicity 2)  1 Zr 2.34, 3 Ce 2.40-2.57, 2 Ca 2.51

Calculated values
DOS at the Fermi energy, states/eV/atom: 0.56
Raw formation energy, meV/atom: -1444.4

---

Entry from Alexandria: crystalline CaCe3Zr2N6 at its relaxed geometry (GGA-PBE).

Cell: 15.0409 3.4263 6.9193 Å, 90.00 103.37 90.00°
Last column: nearest neighbours and their distance in Å.
Space group C2/m (No. 12)
Asymmetric unit:
Ca (0.0000, 0.0000, 0.0000) (multiplicity 2)  6 N 2.48-2.49
Ce (0.0000, 0.0000, 0.5000) (multiplicity 2)  6 N 2.39-2.52
Ce (0.1650, 0.5000, 0.8346) (multiplicity 4)  6 N 2.42-2.55
Zr (0.1687, 0.5000, 0.3375) (multiplicity 4)  6 N 2.33-2.36
N (0.0091, 0.5000, 0.2637) (multiplicity 4)  1 Zr 2.34, 3 Ce 2.39-2.55, 2 Ca 2.48
N (0.1697, 0.0000, 0.1030) (multiplicity 4)  2 Zr 2.36, 3 Ce 2.42-2.52, 1 Ca 2.49
N (0.1720, 0.0000, 0.5708) (multiplicity 4)  3 Zr 2.33-2.35, 3 Ce 2.52

Calculated values
DOS at the Fermi energy, states/eV/atom: 0.59
Raw formation energy, meV/atom: -1510.7

---

Entry from Alexandria: crystalline Ca3CeZr2N6 at its relaxed geometry (GGA-PBE).

Cell: 15.0091 3.4057 6.9084 Å, 90.00 103.90 90.00°
Last column: nearest neighbours and their distance in Å.
Space group C2/m (No. 12)
Asymmetric unit:
Ca (0.0000, 0.0000, 0.0000) (multiplicity 2)  6 N 2.49-2.56
Ca (0.1694, 0.5000, 0.3320) (multiplicity 4)  6 N 2.44-2.66
Ce (0.0000, 0.0000, 0.5000) (multiplicity 2)  6 N 2.37-2.40
Zr (0.1692, 0.5000, 0.8395) (multiplicity 4)  6 N 2.27-2.31
N (0.0132, 0.5000, 0.7445) (multiplicity 4)  1 Zr 2.28, 2 Ce 2.37, 2 Ca 2.49
N (0.1642, 0.0000, 0.6131) (multiplicity 4)  2 Zr 2.30, 1 Ce 2.40, 1 Ca 2.44
N (0.1753, 0.0000, 0.0685) (multiplicity 4)  3 Zr 2.27-2.31, 2 Ca 2.51

Calculated values
Raw formation energy, meV/atom: -1421.4